Entry 1:
## IrPt2 (meta-GGA SCAN)

Data for a PBEsol-optimized structure of IrPt2.

a b c (Å): 3.867 11.704 3.889
angles (deg): 90.00 90.00 90.00
Space group Cmcm (No. 63)
One atom of each set of equivalent atoms:
Ir 0.000 0.080 0.250 [4 per cell]
Pt 0.000 0.249 0.750 [4 per cell]
Pt 0.000 0.418 0.250 [4 per cell]

Calculated values
**Uncorrected energy**: -844.7 eV/cell
**ΔE to the lowest computed polymorph**: 14 meV per atom


Entry 2:
## LaPb4 (meta-GGA SCAN)

Data for a PBEsol-optimized structure of LaPb4.

a b c (Å): 4.560 4.560 15.512
angles (deg): 90.00 90.00 90.00
Space group I4/mmm (No. 139)
One atom of each set of equivalent atoms:
La 0.000 0.000 0.000 [2 per cell]
Pb 0.000 0.000 0.405 [4 per cell]
Pb 0.000 0.500 0.250 [4 per cell]

Calculated values
**Uncorrected energy**: -695.2 eV/cell


Entry 3:
## RbCaS3 (meta-GGA SCAN)

Data for a PBEsol-optimized structure of RbCaS3.

a b c (Å): 5.336 5.336 5.336
angles (deg): 90.00 90.00 90.00
Space group Pm-3m (No. 221)
One atom of each set of equivalent atoms:
Rb 0.000 0.000 0.000 [1 per cell]
Ca 0.500 0.500 0.500 [1 per cell]
S 0.000 0.500 0.500 [3 per cell]

Calculated values
**Formation energy (no corrections)**: -723 meV/atom
**Uncorrected energy**: -62.9 eV/cell


Entry 4:
## Nb2BN (meta-GGA SCAN)

Data for a PBEsol-optimized structure of Nb2BN.

a b c (Å): 5.617 5.617 5.617
angles (deg): 90.00 90.00 90.00
Space group Fm-3m (No. 225)
One atom of each set of equivalent atoms:
Nb 0.250 0.250 0.250 [8 per cell]
B 0.000 0.000 0.000 [4 per cell]
N 0.000 0.000 0.500 [4 per cell]

Calculated values
**Formation energy (no corrections)**: 79 meV/atom
**Uncorrected energy**: -330.7 eV/cell


Entry 5:
## Rb3AlF (meta-GGA SCAN)

Data for a PBEsol-optimized structure of Rb3AlF.

a b c (Å): 6.699 6.699 6.699
angles (deg): 90.00 90.00 90.00
Space group Pm-3m (No. 221)
One atom of each set of equivalent atoms:
Rb 0.000 0.000 0.500 [3 per cell]
Al 0.000 0.000 0.000 [1 per cell]
F 0.500 0.500 0.500 [1 per cell]

Calculated values
**Formation energy (no corrections)**: -177 meV/atom
**Uncorrected energy**: -74.4 eV/cell


Entry 6:
## FeH12C2N2Cl4 (meta-GGA SCAN)

Data for a PBEsol-optimized structure of FeH12C2N2Cl4.

a b c (Å): 6.939 6.939 19.508
angles (deg): 90.00 90.00 90.00
Space group P4_2/ncm (No. 138, origin choice 2)
One atom of each set of equivalent atoms:
Fe 0.000 0.000 0.000 [4 per cell]
H 0.007 0.664 0.107 [16 per cell]
H 0.008 0.191 0.693 [16 per cell]
H 0.049 0.049 0.278 [8 per cell]
H 0.063 0.063 0.580 [8 per cell]
C 0.037 0.037 0.686 [8 per cell]
N 0.016 0.016 0.385 [8 per cell]
Cl 0.028 0.028 0.877 [8 per cell]
Cl 0.250 0.250 0.017 [4 per cell]
Cl 0.250 0.750 0.000 [4 per cell]

Calculated values
**Uncorrected energy**: -566.8 eV/cell


Entry 7:
## Cu3PtF (meta-GGA SCAN)

Data for a PBEsol-optimized structure of Cu3PtF.

a b c (Å): 3.972 3.972 3.972
angles (deg): 90.00 90.00 90.00
Space group Pm-3m (No. 221)
One atom of each set of equivalent atoms:
Cu 0.000 0.000 0.500 [3 per cell]
Pt 0.500 0.500 0.500 [1 per cell]
F 0.000 0.000 0.000 [1 per cell]

Calculated values
**Formation energy (no corrections)**: 42 meV/atom
**Uncorrected energy**: -119.1 eV/cell


Entry 8:
## BaCd3Ir (meta-GGA SCAN)

Data for a PBEsol-optimized structure of BaCd3Ir.

a b c (Å): 5.179 5.179 5.179
angles (deg): 90.00 90.00 90.00
Space group Pm-3m (No. 221)
One atom of each set of equivalent atoms:
Ba 0.000 0.000 0.000 [1 per cell]
Cd 0.000 0.500 0.500 [3 per cell]
Ir 0.500 0.500 0.500 [1 per cell]

Calculated values
**Uncorrected energy**: -203.0 eV/cell


Entry 9:
## Zr5P3 (meta-GGA SCAN)

Data for a PBEsol-optimized structure of Zr5P3.

a b c (Å): 7.7250 7.7250 5.4319
angles (deg): 90.00 90.00 120.00
Space group P6_3/mcm (No. 193)
One atom of each set of equivalent atoms:
Zr 0.0000 0.2582 0.2500 [6 per cell]
Zr 0.3333 0.6667 0.0000 [4 per cell]
P 0.0000 0.3847 0.7500 [6 per cell]

Calculated values
**Uncorrected energy**: -388.8 eV/cell


Entry 10:
## FeMo2Se (meta-GGA SCAN)

Data for a PBEsol-optimized structure of FeMo2Se.

a b c (Å): 2.8632 2.8632 24.2864
angles (deg): 90.00 90.00 120.00
Space group R-3m (No. 166, hexagonal axes)
One atom of each set of equivalent atoms:
Fe 0.0000 0.0000 0.0000 [3 per cell]
Mo 0.0000 0.0000 0.2513 [6 per cell]
Se 0.0000 0.0000 0.5000 [3 per cell]

Calculated values
**Formation energy (no corrections)**: 397 meV/atom
**Uncorrected energy**: -319.2 eV/cell


Entry 11:
## Zr2CdAu (meta-GGA SCAN)

Data for a PBEsol-optimized structure of Zr2CdAu.

a b c (Å): 6.004 8.560 3.030
angles (deg): 90.00 90.00 90.00
Space group Cmmm (No. 65)
One atom of each set of equivalent atoms:
Zr 0.250 0.250 0.000 [4 per cell]
Cd 0.000 0.000 0.500 [2 per cell]
Au 0.000 0.500 0.500 [2 per cell]

Calculated values
**Uncorrected energy**: -325.3 eV/cell


Entry 12:
## ZrFeOs3 (meta-GGA SCAN)

Data for a PBEsol-optimized structure of ZrFeOs3.

a b c (Å): 4.380 4.380 4.380
angles (deg): 90.00 90.00 90.00
Space group Pm-3m (No. 221)
One atom of each set of equivalent atoms:
Zr 0.000 0.000 0.000 [1 per cell]
Fe 0.500 0.500 0.500 [1 per cell]
Os 0.000 0.500 0.500 [3 per cell]

Calculated values
**Uncorrected energy**: -259.1 eV/cell


Copy entry 11 word for word.
## Zr2CdAu (meta-GGA SCAN)

Data for a PBEsol-optimized structure of Zr2CdAu.

a b c (Å): 6.004 8.560 3.030
angles (deg): 90.00 90.00 90.00
Space group Cmmm (No. 65)
One atom of each set of equivalent atoms:
Zr 0.250 0.250 0.000 [4 per cell]
Cd 0.000 0.000 0.500 [2 per cell]
Au 0.000 0.500 0.500 [2 per cell]

Calculated values
**Uncorrected energy**: -325.3 eV/cell